1.
DFT (PBE) results for Sc2VSnC after structural relaxation.

## Properties
Volume (Å³/cell): 85
M_tot (μB/f.u.): 1.29
Space group: No. 123
DOS at the Fermi energy (states/eV per atom): 0.6415

a = 4.557 Å, b = 4.557 Å, c = 4.075 Å
α = 90.00°, β = 90.00°, γ = 90.00°
Positions (direct):
1 Sc 0.000 0.500 0.000
2 Sc 0.500 0.000 0.000
3 V 0.000 0.000 0.500
4 Sn 0.500 0.500 0.500
5 C 0.000 0.000 0.000

---

2.
DFT (PBE) results for Sc2SnWC after structural relaxation.

## Properties
Volume (Å³/cell): 87
M_tot (μB/f.u.): 0.00
Space group: No. 123
DOS at the Fermi energy (states/eV per atom): 0.4687

a = 4.591 Å, b = 4.591 Å, c = 4.108 Å
α = 90.00°, β = 90.00°, γ = 90.00°
Positions (direct):
1 Sc 0.000 0.500 0.000
2 Sc 0.500 0.000 0.000
3 Sn 0.000 0.000 0.500
4 W 0.500 0.500 0.500
5 C 0.500 0.500 0.000

---

3.
DFT (PBE) results for ScSn2WC after structural relaxation.

## Properties
Volume (Å³/cell): 112
M_tot (μB/f.u.): 0.00
Space group: No. 123
DOS at the Fermi energy (states/eV per atom): 1.0728

a = 5.356 Å, b = 5.356 Å, c = 3.909 Å
α = 90.00°, β = 90.00°, γ = 90.00°
Positions (direct):
1 Sc 0.000 0.000 0.000
2 Sn 0.000 0.500 0.000
3 Sn 0.500 0.000 0.000
4 W 0.500 0.500 0.500
5 C 0.000 0.000 0.500

---

4.
DFT (PBE) results for Y2Sc2Sn2C after structural relaxation.

## Properties
Volume (Å³/cell): 163
M_tot (μB/f.u.): 0.00
Space group: No. 139
DOS at the Fermi energy (states/eV per atom): 0.0552

a = 8.510 Å, b = 8.510 Å, c = 8.510 Å
α = 149.05°, β = 149.05°, γ = 44.33°
Positions (direct):
1 Y 0.159 0.159 0.000
2 Y 0.841 0.841 0.000
3 Sc 0.000 0.500 0.500
4 Sc 0.500 0.000 0.500
5 Sn 0.364 0.364 0.000
6 Sn 0.636 0.636 0.000
7 C 0.000 0.000 0.000

---

5.
DFT (PBE) results for YSc2SnC after structural relaxation.

## Properties
Volume (Å³/cell): 102
M_tot (μB/f.u.): 0.00
Space group: No. 123
DOS at the Fermi energy (states/eV per atom): 0.5008

a = 4.577 Å, b = 4.577 Å, c = 4.853 Å
α = 90.00°, β = 90.00°, γ = 90.00°
Positions (direct):
1 Y 0.000 0.000 0.000
2 Sc 0.000 0.500 0.500
3 Sc 0.500 0.000 0.500
4 Sn 0.500 0.500 0.000
5 C 0.000 0.000 0.500

---

6.
DFT (PBE) results for Y2ScSnC after structural relaxation.

## Properties
Volume (Å³/cell): 110
M_tot (μB/f.u.): 0.00
Space group: No. 123
DOS at the Fermi energy (states/eV per atom): 0.4862

a = 4.893 Å, b = 4.893 Å, c = 4.581 Å
α = 90.00°, β = 90.00°, γ = 90.00°
Positions (direct):
1 Y 0.000 0.500 0.000
2 Y 0.500 0.000 0.000
3 Sc 0.000 0.000 0.500
4 Sn 0.500 0.500 0.500
5 C 0.000 0.000 0.000

---

| no. | formation energy (meV/atom) |
| --- | --- |
| 1 | -562 |
| 2 | -413 |
| 3 | 1901 |
| 4 | -831 |
| 5 | -723 |
| 6 | -687 |